1.
Compound: Y2Mo2Ir
Source: Alexandria
Functional: PBE
Structure: relaxed

## Properties
DOS at the Fermi energy	0.941	states/eV per atom
DFT total energy	-176.92	eV per cell

abc: 10.2872 4.4202 9.2897
angles: 90.00 95.42 90.00
Closest atoms and distances in Å follow each position.
Space group C2/m (No. 12)
Inequivalent atoms, fractional coordinates:
1 Y 0.0923 0.0000 0.1793 [4 per cell]  2 Ir 2.90, 6 Mo 2.94-3.24
2 Y 0.1502 0.0000 0.5835 [4 per cell]  1 Mo 2.89, 5 Ir 2.98-3.14
3 Mo 0.1041 0.5000 0.8858 [4 per cell]  3 Mo 2.54-2.59, 1 Ir 2.81
4 Mo 0.2358 0.0000 0.8891 [4 per cell]  3 Mo 2.54-2.59
5 Ir 0.0590 0.5000 0.3739 [4 per cell]  1 Ir 2.74, 1 Mo 2.81, 5 Y 2.90-3.03



2.
Compound: YMo2Ir
Source: Alexandria
Functional: PBE
Structure: relaxed

## Properties
DOS at the Fermi energy	0.618	states/eV per atom
DFT total energy	-147.55	eV per cell

abc: 6.5467 6.5467 6.5467
angles: 90.00 90.00 90.00
Closest atoms and distances in Å follow each position.
Space group F-43m (No. 216)
Inequivalent atoms, fractional coordinates:
1 Y 0.0000 0.0000 0.0000 [4 per cell]  4 Mo 2.83, 4 Ir 2.83
2 Mo 0.0000 0.0000 0.5000 [4 per cell]  4 Mo 2.83, 4 Ir 2.83
3 Mo 0.2500 0.2500 0.7500 [4 per cell]  4 Mo 2.83, 4 Y 2.83
4 Ir 0.2500 0.2500 0.2500 [4 per cell]  4 Mo 2.83, 4 Y 2.83



3.
Compound: YMo2Ir
Source: Alexandria
Functional: PBE
Structure: relaxed

## Properties
DOS at the Fermi energy	0.852	states/eV per atom
DFT total energy	-36.20	eV per cell

abc: 2.8934 4.7811 5.2044
angles: 90.00 100.93 90.00
Closest atoms and distances in Å follow each position.
Space group P2/m (No. 10)
Inequivalent atoms, fractional coordinates:
1 Y 0.0000 0.0000 0.0000 [1 per cell]  2 Ir 2.73, 2 Y 2.89, 4 Mo 2.90
2 Mo 0.2720 0.5000 0.7507 [2 per cell]  4 Mo 2.68-2.89, 2 Ir 2.86, 2 Y 2.90
3 Ir 0.5000 0.0000 0.5000 [1 per cell]  2 Y 2.73, 4 Mo 2.86, 2 Ir 2.89



4.
Compound: YMo2Ir
Source: Alexandria
Functional: PBE
Structure: relaxed

## Properties
DOS at the Fermi energy	1.110	states/eV per atom
DFT total energy	-140.94	eV per cell

abc: 7.7061 7.7061 5.3747
angles: 90.00 90.00 90.00
Closest atoms and distances in Å follow each position.
Space group I-42d (No. 122)
Inequivalent atoms, fractional coordinates:
1 Y 0.0000 0.0000 0.0000 [4 per cell]  2 Ir 2.69
2 Mo 0.2020 0.2500 0.6250 [8 per cell]  2 Ir 2.57, 2 Mo 2.79
3 Ir 0.0000 0.0000 0.5000 [4 per cell]  4 Mo 2.57, 2 Y 2.69



5.
Compound: YMoIr2
Source: Alexandria
Functional: PBE
Structure: relaxed

## Properties
DOS at the Fermi energy	1.146	states/eV per atom
DFT total energy	-34.65	eV per cell

abc: 4.9659 2.8851 5.0539
angles: 90.00 109.09 90.00
Closest atoms and distances in Å follow each position.
Space group P2/m (No. 10)
Inequivalent atoms, fractional coordinates:
1 Y 0.0000 0.0000 0.0000 [1 per cell]  6 Ir 2.87-2.91, 2 Y 2.89, 4 Mo 2.91
2 Mo 0.0000 0.5000 0.5000 [1 per cell]  6 Ir 2.87-2.91, 2 Mo 2.89, 4 Y 2.91
3 Ir 0.5000 0.0000 0.5000 [1 per cell]  4 Mo 2.87, 6 Ir 2.89-2.91, 2 Y 2.91
4 Ir 0.5000 0.5000 0.0000 [1 per cell]  4 Y 2.87, 6 Ir 2.89-2.91, 2 Mo 2.91



6.
Compound: YMo2Ir
Source: Alexandria
Functional: PBE
Structure: relaxed

## Properties
DOS at the Fermi energy	1.535	states/eV per atom
DFT total energy	-143.19	eV per cell

abc: 6.5080 6.5080 6.5080
angles: 90.00 90.00 90.00
Closest atoms and distances in Å follow each position.
Space group Fm-3m (No. 225)
Inequivalent atoms, fractional coordinates:
1 Y 0.0000 0.0000 0.0000 [4 per cell]  8 Mo 2.82
2 Mo 0.2500 0.2500 0.2500 [8 per cell]  4 Y 2.82, 4 Ir 2.82
3 Ir 0.0000 0.0000 0.5000 [4 per cell]  8 Mo 2.82



Energy above the lowest structure with this stoichiometry: 0.064, 0.035, 0.207, 0.448, 0.429, 0.307 (eV per atom)
DFT formation energy: -0.16, 0.02, 0.20, 0.44, 0.09, 0.30 (eV/atom)